[1]
! K4Ag2SbP (PBE-GGA, optimized geometry); values from VASP
! Calculated volume ... 31.9 Å³/atom
! DFT total energy ... -2.83 eV/atom
&SYSTEM
  ibrav = 0, nat = 8, ntyp = 4
/
ATOMIC_SPECIES
K 39.10 K.upf
Ag 107.87 Ag.upf
Sb 121.76 Sb.upf
P 30.97 P.upf
CELL_PARAMETERS angstrom
6.187 0.000 0.000
0.000 5.117 4.030
0.000 -5.117 4.030
ATOMIC_POSITIONS crystal
K 0.000 0.168 0.832
K 0.000 0.832 0.168
K 0.500 0.109 0.466
K 0.500 0.466 0.109
Ag 0.259 0.668 0.668
Ag 0.741 0.668 0.668
Sb 0.000 0.394 0.394
P 0.500 0.913 0.913

[2]
! MgZrSn (PBE-GGA, optimized geometry); values from VASP
! Calculated volume ... 25.5 Å³/atom
! DFT total energy ... -4.65 eV/atom
! Total magnetization ... 0.008 μB per atom
&SYSTEM
  ibrav = 0, nat = 3, ntyp = 3
/
ATOMIC_SPECIES
Mg 24.30 Mg.upf
Zr 91.22 Zr.upf
Sn 118.71 Sn.upf
CELL_PARAMETERS angstrom
0.000 3.368 3.368
3.368 0.000 3.368
3.368 3.368 0.000
ATOMIC_POSITIONS crystal
Mg 0.000 0.000 0.000
Zr 0.500 0.500 0.500
Sn 0.250 0.250 0.250

[3]
! TaRe (PBE-GGA, optimized geometry); values from VASP
! Formation energy ... 0.88 eV per formula unit
! Calculated volume ... 17.2 Å³/atom
! DFT total energy ... -11.70 eV/atom
! Total magnetization ... 0.000 μB per atom
&SYSTEM
  ibrav = 0, nat = 12, ntyp = 2
/
ATOMIC_SPECIES
Ta 180.95 Ta.upf
Re 186.21 Re.upf
CELL_PARAMETERS angstrom
2.631 -4.443 0.000
2.631 4.443 0.000
0.000 0.000 8.826
ATOMIC_POSITIONS crystal
Ta 0.000 0.000 0.000
Ta 0.000 0.000 0.500
Ta 0.163 0.348 0.750
Ta 0.348 0.163 0.250
Ta 0.652 0.837 0.750
Ta 0.837 0.652 0.250
Re 0.159 0.841 0.750
Re 0.328 0.672 0.036
Re 0.328 0.672 0.464
Re 0.672 0.328 0.536
Re 0.672 0.328 0.964
Re 0.841 0.159 0.250

[4]
! La2NdSi4Ir2Pd2 (PBE-GGA, optimized geometry); values from VASP
! Calculated volume ... 19.8 Å³/atom
! DFT total energy ... -6.87 eV/atom
! Total magnetization ... 0.001 μB per atom
&SYSTEM
  ibrav = 0, nat = 11, ntyp = 5
/
ATOMIC_SPECIES
La 138.91 La.upf
Nd 144.24 Nd.upf
Si 28.09 Si.upf
Ir 192.22 Ir.upf
Pd 106.42 Pd.upf
CELL_PARAMETERS angstrom
-2.068 2.096 12.572
2.068 -2.096 12.572
2.068 2.096 -12.572
ATOMIC_POSITIONS crystal
La 0.146 0.146 0.000
La 0.854 0.854 0.000
Nd 0.500 0.000 0.500
Si 0.047 0.547 0.500
Si 0.301 0.301 0.000
Si 0.699 0.699 0.000
Si 0.953 0.453 0.500
Ir 0.250 0.750 0.500
Ir 0.750 0.250 0.500
Pd 0.401 0.401 0.000
Pd 0.599 0.599 0.000

Look up the DFT total energy of the fourth one.
-6.87 eV/atom

Among the records above, which one has the highest calculated volume?
K4Ag2SbP

Which formula does entry 1 have?
K4Ag2SbP